1.
Below is a geometry-optimized Pm3GaIr3 structure, with properties calculated at the PBE-GGA level.

abc: 8.629 8.629 5.721
angles: 90.00 90.00 120.00
Positions (direct):
1 Pm 0.047 0.699 0.250
2 Pm 0.301 0.347 0.250
3 Pm 0.347 0.047 0.750
4 Pm 0.653 0.953 0.250
5 Pm 0.699 0.653 0.750
6 Pm 0.953 0.301 0.750
7 Ga 0.333 0.667 0.750
8 Ga 0.667 0.333 0.250
9 Ir 0.056 0.680 0.750
10 Ir 0.320 0.376 0.750
11 Ir 0.376 0.056 0.250
12 Ir 0.624 0.944 0.750
13 Ir 0.680 0.624 0.250
14 Ir 0.944 0.320 0.250

Properties
Calculated density, g/cm3: 9.7
Calculated formation energy, eV/atom: -0.401
Symmetry: No. 176
D(E_F), states/eV/cell: 6.20
VASP energy, eV per atom: -6.667

2.
Below is a geometry-optimized Cs2GaOs structure, with properties calculated at the PBE-GGA level.

abc: 9.170 9.170 9.170
angles: 120.39 120.39 89.32
Positions (direct):
1 Cs 0.375 0.131 0.256
2 Cs 0.869 0.125 0.244
3 Cs 0.875 0.119 0.744
4 Cs 0.881 0.625 0.756
5 Ga 0.250 0.750 0.500
6 Ga 0.500 0.500 0.000
7 Os 0.000 0.000 0.000
8 Os 0.750 0.250 0.500

Properties
Calculated density, g/cm3: 3.2
Calculated formation energy, eV/atom: 1.946
Symmetry: No. 122
D(E_F), states/eV/cell: 11.94
VASP energy, eV per atom: -2.045

3.
Below is a geometry-optimized Zr3InAg structure, with properties calculated at the PBE-GGA level.

abc: 5.142 5.142 5.142
angles: 90.00 90.00 90.00
Positions (direct):
1 Zr 0.000 0.000 0.500
2 Zr 0.000 0.500 0.000
3 Zr 0.500 0.000 0.000
4 In 0.500 0.500 0.500
5 Ag 0.000 0.000 0.000

Properties
Calculated density, g/cm3: 6.1
Calculated formation energy, eV/atom: 0.704
Symmetry: No. 221
D(E_F), states/eV/cell: 5.12
VASP energy, eV per atom: -5.543

4.
Below is a geometry-optimized Ba6GeN structure, with properties calculated at the PBE-GGA level.

abc: 8.445 8.445 8.445
angles: 54.08 54.08 54.08
Positions (direct):
1 Ba 0.121 0.430 0.715
2 Ba 0.285 0.879 0.570
3 Ba 0.430 0.715 0.121
4 Ba 0.570 0.285 0.879
5 Ba 0.715 0.121 0.430
6 Ba 0.879 0.570 0.285
7 Ge 0.000 0.000 0.000
8 N 0.500 0.500 0.500

Properties
Calculated density, g/cm3: 4.1
Symmetry: No. 148
D(E_F), states/eV/cell: 8.34
VASP energy, eV per atom: -3.269
ΔE_f (raw), eV/atom: -0.209

5.
Below is a geometry-optimized BeRuBr2 structure, with properties calculated at the PBE-GGA level.

abc: 5.217 5.217 5.217
angles: 144.37 107.22 83.75
Positions (direct):
1 Be 0.000 0.000 0.000
2 Ru 0.500 0.500 0.000
3 Br 0.214 0.714 0.500
4 Br 0.786 0.286 0.500

Properties
Calculated density, g/cm3: 5.8
Symmetry: No. 71
D(E_F), states/eV/cell: 2.06
VASP energy, eV per atom: -3.409
ΔE_f (raw), eV/atom: 0.678

6.
Below is a geometry-optimized NpFe6Ge12 structure, with properties calculated at the PBE-GGA level.

abc: 7.289 7.289 7.289
angles: 109.47 109.47 109.47
Positions (direct):
1 Np 0.000 0.000 0.000
2 Fe 0.150 0.500 0.650
3 Fe 0.350 0.850 0.500
4 Fe 0.500 0.350 0.850
5 Fe 0.500 0.650 0.150
6 Fe 0.650 0.150 0.500
7 Fe 0.850 0.500 0.350
8 Ge 0.115 0.288 0.826
9 Ge 0.174 0.462 0.288
10 Ge 0.174 0.885 0.712
11 Ge 0.288 0.174 0.462
12 Ge 0.288 0.826 0.115
13 Ge 0.462 0.288 0.174
14 Ge 0.538 0.712 0.826
15 Ge 0.712 0.174 0.885
16 Ge 0.712 0.826 0.538
17 Ge 0.826 0.115 0.288
18 Ge 0.826 0.538 0.712
19 Ge 0.885 0.712 0.174

Properties
Calculated density, g/cm3: 8.0
Calculated formation energy, eV/atom: 0.166
Symmetry: No. 204
D(E_F), states/eV/cell: 18.60
VASP energy, eV per atom: -6.104

7.
Below is a geometry-optimized Pr3SnPd12 structure, with properties calculated at the PBE-GGA level.

abc: 4.195 4.195 16.578
angles: 90.00 90.00 90.00
Positions (direct):
1 Pr 0.000 0.000 0.000
2 Pr 0.000 0.000 0.255
3 Pr 0.000 0.000 0.745
4 Sn 0.000 0.000 0.500
5 Pd 0.000 0.500 0.128
6 Pd 0.000 0.500 0.386
7 Pd 0.000 0.500 0.614
8 Pd 0.000 0.500 0.872
9 Pd 0.500 0.000 0.128
10 Pd 0.500 0.000 0.386
11 Pd 0.500 0.000 0.614
12 Pd 0.500 0.000 0.872
13 Pd 0.500 0.500 0.000
14 Pd 0.500 0.500 0.258
15 Pd 0.500 0.500 0.500
16 Pd 0.500 0.500 0.742

Properties
Calculated density, g/cm3: 10.4
Calculated formation energy, eV/atom: -0.679
Symmetry: No. 123
D(E_F), states/eV/cell: 7.04
VASP energy, eV per atom: -5.720

8.
Below is a geometry-optimized Np2NbZnN5 structure, with properties calculated at the PBE-GGA level.

abc: 6.803 6.803 10.057
angles: 90.00 90.00 152.50
Positions (direct):
1 Np 0.116 0.884 0.500
2 Np 0.134 0.866 0.106
3 Np 0.866 0.134 0.606
4 Np 0.884 0.116 0.000
5 Nb 0.202 0.798 0.815
6 Nb 0.798 0.202 0.315
7 Zn 0.485 0.515 0.288
8 Zn 0.515 0.485 0.788
9 N 0.053 0.947 0.886
10 N 0.288 0.712 0.468
11 N 0.307 0.693 0.169
12 N 0.357 0.643 0.825
13 N 0.491 0.509 0.592
14 N 0.509 0.491 0.092
15 N 0.643 0.357 0.325
16 N 0.693 0.307 0.669
17 N 0.712 0.288 0.968
18 N 0.947 0.053 0.386

Properties
Calculated density, g/cm3: 10.9
Symmetry: No. 36
D(E_F), states/eV/cell: 19.16
VASP energy, eV per atom: -9.522
ΔE_f (raw), eV/atom: -0.761

9.
Below is a geometry-optimized YZr2Os structure, with properties calculated at the PBE-GGA level.

abc: 6.013 6.013 6.013
angles: 147.29 129.83 61.19
Positions (direct):
1 Y 0.000 0.000 0.000
2 Zr 0.292 0.792 0.500
3 Zr 0.708 0.208 0.500
4 Os 0.500 0.500 0.000

Properties
Calculated density, g/cm3: 8.6
Calculated formation energy, eV/atom: -0.219
Symmetry: No. 71
D(E_F), states/eV/cell: 2.67
VASP energy, eV per atom: -8.917

10.
Below is a geometry-optimized Tb4DyHg structure, with properties calculated at the PBE-GGA level.

abc: 8.217 8.217 6.370
angles: 99.89 99.89 115.74
Positions (direct):
1 Tb 0.090 0.712 0.955
2 Tb 0.163 0.402 0.623
3 Tb 0.288 0.910 0.545
4 Tb 0.402 0.163 0.123
5 Tb 0.598 0.837 0.877
6 Tb 0.712 0.090 0.455
7 Tb 0.837 0.598 0.377
8 Tb 0.910 0.288 0.045
9 Dy 0.407 0.593 0.250
10 Dy 0.593 0.407 0.750
11 Hg 0.001 0.999 0.250
12 Hg 0.999 0.001 0.750

Properties
Calculated density, g/cm3: 9.0
Calculated formation energy, eV/atom: -0.048
Symmetry: No. 15
D(E_F), states/eV/cell: 16.50
VASP energy, eV per atom: -3.952

11.
Below is a geometry-optimized Ac2InGePd6 structure, with properties calculated at the PBE-GGA level.

abc: 6.667 6.667 8.690
angles: 126.87 126.87 50.44
Positions (direct):
1 Ac 0.248 0.248 0.276
2 Ac 0.752 0.752 0.724
3 In 0.000 0.000 0.500
4 Ge 0.500 0.500 0.000
5 Pd 0.251 0.251 0.904
6 Pd 0.252 0.748 0.239
7 Pd 0.252 0.748 0.761
8 Pd 0.748 0.252 0.239
9 Pd 0.748 0.252 0.761
10 Pd 0.749 0.749 0.096

Properties
Calculated density, g/cm3: 9.5
Calculated formation energy, eV/atom: -0.700
Symmetry: No. 12
D(E_F), states/eV/cell: 3.76
VASP energy, eV per atom: -5.373

12.
Below is a geometry-optimized Tb7Dy4Er structure, with properties calculated at the PBE-GGA level.

abc: 6.467 6.782 9.014
angles: 86.32 76.86 82.37
Positions (direct):
1 Tb 0.000 0.000 0.000
2 Tb 0.194 0.602 0.385
3 Tb 0.313 0.203 0.641
4 Tb 0.488 0.749 0.051
5 Tb 0.512 0.251 0.949
6 Tb 0.687 0.797 0.359
7 Tb 0.806 0.398 0.615
8 Dy 0.160 0.111 0.313
9 Dy 0.357 0.697 0.716
10 Dy 0.643 0.303 0.284
11 Dy 0.840 0.889 0.687
12 Er 0.000 0.500 0.000

Properties
Calculated density, g/cm3: 8.4
Calculated formation energy, eV/atom: 0.088
Symmetry: No. 2
D(E_F), states/eV/cell: 19.66
VASP energy, eV per atom: -4.527

Question: Number 3 is which compound?
Answer: Zr3InAg